Entry 1:
# AlTlInPb | Alexandria | GGA-PBE | optimized geometry
# Total energy: -2.96 eV per atom
# E_form: 176 meV per atom
# Total magnetization: 0.0 Bohr magnetons per cell
# DOS at the Fermi energy: 2.0 states/eV/f.u.
data_AlTlInPb
_chemical_formula_sum 'Al1 Tl1 In1 Pb1'
_symmetry_space_group_name_H-M 'P 1'
_symmetry_Int_Tables_number 1
_symmetry_space_group_name_Hall 'P 1'
_cell_length_a 5.3507
_cell_length_b 5.3507
_cell_length_c 5.3507
_cell_angle_alpha 60.00
_cell_angle_beta 60.00
_cell_angle_gamma 60.00
loop_
_atom_site_label
_atom_site_fract_x
_atom_site_fract_y
_atom_site_fract_z
Pb1 0.5000 0.5000 0.5000
Tl1 0.0000 0.0000 0.0000
In1 0.7500 0.7500 0.7500
Al1 0.2500 0.2500 0.2500

***

Entry 2:
# Er6AlRu2 | Alexandria | GGA-PBE | optimized geometry
# Total energy: -5.90 eV per atom
# E_form: -381 meV per atom
# Total magnetization: 0.0 Bohr magnetons per cell
# DOS at the Fermi energy: 7.6 states/eV/f.u.
data_Er6AlRu2
_chemical_formula_sum 'Er12 Al2 Ru4'
_symmetry_space_group_name_H-M 'P 1'
_symmetry_Int_Tables_number 1
_symmetry_space_group_name_Hall 'P 1'
_cell_length_a 8.3476
_cell_length_b 8.3476
_cell_length_c 8.3476
_cell_angle_alpha 102.91
_cell_angle_beta 112.77
_cell_angle_gamma 112.93
loop_
_atom_site_label
_atom_site_fract_x
_atom_site_fract_y
_atom_site_fract_z
Er1 0.8014 0.7581 0.5595
Er2 0.6885 0.3565 0.6680
Er3 0.3115 0.6435 0.3320
Er4 0.4674 0.2861 0.1813
Er5 0.3115 0.9795 0.6680
Er6 0.5326 0.7139 0.8187
Er7 0.1986 0.2419 0.4405
Er8 0.1986 0.7581 0.9567
Er9 0.8014 0.2419 0.0433
Er10 0.1049 0.2861 0.8187
Er11 0.6885 0.0205 0.3320
Er12 0.8951 0.7139 0.1813
Ru1 0.5000 0.3686 0.8686
Ru2 0.6851 0.0000 0.6851
Ru3 0.3149 0.0000 0.3149
Ru4 0.5000 0.6314 0.1314
Al1 0.0000 0.0000 0.0000
Al2 0.0000 0.5000 0.5000

***

Entry 3:
# Sm2ZnBi4 | Alexandria | GGA-PBE | optimized geometry
# Total energy: -4.27 eV per atom
# E_form: -525 meV per atom
# Total magnetization: 0.0 Bohr magnetons per cell
# DOS at the Fermi energy: 2.6 states/eV/f.u.
data_Sm2ZnBi4
_chemical_formula_sum 'Sm2 Zn1 Bi4'
_symmetry_space_group_name_H-M 'P 1'
_symmetry_Int_Tables_number 1
_symmetry_space_group_name_Hall 'P 1'
_cell_length_a 4.5859
_cell_length_b 4.5859
_cell_length_c 9.8819
_cell_angle_alpha 90.00
_cell_angle_beta 90.00
_cell_angle_gamma 90.00
loop_
_atom_site_label
_atom_site_fract_x
_atom_site_fract_y
_atom_site_fract_z
Zn1 0.5000 0.5000 0.0000
Bi1 0.0000 0.5000 0.8378
Bi2 0.0000 0.0000 0.5000
Bi3 0.5000 0.5000 0.5000
Bi4 0.5000 0.0000 0.1622
Sm1 0.0000 0.5000 0.2413
Sm2 0.5000 0.0000 0.7587

***

Entry 4:
# ZrInSb2 | Alexandria | GGA-PBE | optimized geometry
# Formation energy from raw total energies: -105 meV/atom
# Total energy: -4.99 eV per atom
# Total magnetization: 0.0 Bohr magnetons per cell
# DOS at the Fermi energy: 3.8 states/eV/f.u.
data_ZrInSb2
_chemical_formula_sum 'Zr1 In1 Sb2'
_symmetry_space_group_name_H-M 'P 1'
_symmetry_Int_Tables_number 1
_symmetry_space_group_name_Hall 'P 1'
_cell_length_a 3.8228
_cell_length_b 5.0515
_cell_length_c 5.0515
_cell_angle_alpha 90.00
_cell_angle_beta 90.00
_cell_angle_gamma 90.00
loop_
_atom_site_label
_atom_site_fract_x
_atom_site_fract_y
_atom_site_fract_z
Sb1 0.0000 0.5000 0.5000
Sb2 0.0000 0.0000 0.0000
In1 0.5000 0.0000 0.5000
Zr1 0.5000 0.5000 0.0000

***

Entry 5:
# SrInRhC2 | Alexandria | GGA-PBE | optimized geometry
# Total energy: -4.30 eV per atom
# E_form: 1739 meV per atom
# Total magnetization: 0.0 Bohr magnetons per cell
# DOS at the Fermi energy: 2.9 states/eV/f.u.
data_SrInRhC2
_chemical_formula_sum 'Sr1 In1 Rh1 C2'
_symmetry_space_group_name_H-M 'P 1'
_symmetry_Int_Tables_number 1
_symmetry_space_group_name_Hall 'P 1'
_cell_length_a 4.4309
_cell_length_b 5.0904
_cell_length_c 4.4309
_cell_angle_alpha 90.00
_cell_angle_beta 90.00
_cell_angle_gamma 90.00
loop_
_atom_site_label
_atom_site_fract_x
_atom_site_fract_y
_atom_site_fract_z
In1 0.0000 0.0000 0.0000
C1 0.5000 0.0000 0.0000
C2 0.0000 0.0000 0.5000
Rh1 0.0000 0.5000 0.0000
Sr1 0.5000 0.5000 0.5000

***

Entry 6:
# CeHo4Ga4 | Alexandria | GGA-PBE | optimized geometry
# Total energy: -4.34 eV per atom
# E_form: -304 meV per atom
# Total magnetization: 1.8 Bohr magnetons per cell
# DOS at the Fermi energy: 12.6 states/eV/f.u.
data_CeHo4Ga4
_chemical_formula_sum 'Ce2 Ho8 Ga8'
_symmetry_space_group_name_H-M 'P 1'
_symmetry_Int_Tables_number 1
_symmetry_space_group_name_Hall 'P 1'
_cell_length_a 5.8831
_cell_length_b 9.1772
_cell_length_c 9.1772
_cell_angle_alpha 90.00
_cell_angle_beta 90.00
_cell_angle_gamma 90.00
loop_
_atom_site_label
_atom_site_fract_x
_atom_site_fract_y
_atom_site_fract_z
Ce1 0.0000 0.0000 0.0000
Ce2 0.5000 0.5000 0.5000
Ga1 0.3742 0.3621 0.2219
Ga2 0.8742 0.2781 0.8621
Ga3 0.1258 0.1379 0.2781
Ga4 0.6258 0.2219 0.6379
Ga5 0.1258 0.8621 0.7219
Ga6 0.8742 0.7219 0.1379
Ga7 0.3742 0.6379 0.7781
Ga8 0.6258 0.7781 0.3621
Ho1 0.8801 0.4051 0.1731
Ho2 0.3801 0.6731 0.0949
Ho3 0.6199 0.9051 0.6731
Ho4 0.6199 0.0949 0.3269
Ho5 0.3801 0.3269 0.9051
Ho6 0.1199 0.8269 0.4051
Ho7 0.1199 0.1731 0.5949
Ho8 0.8801 0.5949 0.8269

***

Entry 7:
# TbY3Zn4 | Alexandria | GGA-PBE | optimized geometry
# Total energy: -3.99 eV per atom
# E_form: -355 meV per atom
# Total magnetization: 0.0 Bohr magnetons per cell
# DOS at the Fermi energy: 9.3 states/eV/f.u.
data_TbY3Zn4
_chemical_formula_sum 'Tb2 Y6 Zn8'
_symmetry_space_group_name_H-M 'P 1'
_symmetry_Int_Tables_number 1
_symmetry_space_group_name_Hall 'P 1'
_cell_length_a 5.0532
_cell_length_b 7.1999
_cell_length_c 10.1069
_cell_angle_alpha 90.00
_cell_angle_beta 90.00
_cell_angle_gamma 90.00
loop_
_atom_site_label
_atom_site_fract_x
_atom_site_fract_y
_atom_site_fract_z
Y1 0.5002 0.0000 0.7500
Y2 0.5002 0.5000 0.7500
Y3 0.4998 0.5000 0.2500
Y4 0.0000 0.0000 0.0000
Y5 0.0000 0.0000 0.5000
Y6 0.4998 0.0000 0.2500
Tb1 0.0000 0.5000 0.5000
Tb2 0.0000 0.5000 0.0000
Zn1 0.5000 0.2498 0.0000
Zn2 0.5000 0.7502 0.5000
Zn3 0.9998 0.7502 0.2500
Zn4 0.0002 0.7502 0.7500
Zn5 0.0002 0.2498 0.7500
Zn6 0.5000 0.7502 0.0000
Zn7 0.5000 0.2498 0.5000
Zn8 0.9998 0.2498 0.2500

***

Entry 8:
# CaY2Sc2 | Alexandria | GGA-PBE | optimized geometry
# Excess energy over the best structure of this formula in the dataset: 0 meV per atom
# Total energy: -5.41 eV per atom
# E_form: 108 meV per atom
# Total magnetization: 0.0 Bohr magnetons per cell
# DOS at the Fermi energy: 2.8 states/eV/f.u.
data_CaY2Sc2
_chemical_formula_sum 'Ca2 Y4 Sc4'
_symmetry_space_group_name_H-M 'P 1'
_symmetry_Int_Tables_number 1
_symmetry_space_group_name_Hall 'P 1'
_cell_length_a 9.3537
_cell_length_b 9.3537
_cell_length_c 3.5146
_cell_angle_alpha 90.00
_cell_angle_beta 90.00
_cell_angle_gamma 90.00
loop_
_atom_site_label
_atom_site_fract_x
_atom_site_fract_y
_atom_site_fract_z
Sc1 0.3841 0.8841 0.0000
Sc2 0.6159 0.1159 0.0000
Sc3 0.8841 0.6159 0.0000
Sc4 0.1159 0.3841 0.0000
Y1 0.1762 0.6762 0.5000
Y2 0.3238 0.1762 0.5000
Y3 0.6762 0.8238 0.5000
Y4 0.8238 0.3238 0.5000
Ca1 0.5000 0.5000 0.0000
Ca2 0.0000 0.0000 0.0000

***

What did the fourth record say?
# ZrInSb2 | Alexandria | GGA-PBE | optimized geometry
# Formation energy from raw total energies: -105 meV/atom
# Total energy: -4.99 eV per atom
# Total magnetization: 0.0 Bohr magnetons per cell
# DOS at the Fermi energy: 3.8 states/eV/f.u.
data_ZrInSb2
_chemical_formula_sum 'Zr1 In1 Sb2'
_symmetry_space_group_name_H-M 'P 1'
_symmetry_Int_Tables_number 1
_symmetry_space_group_name_Hall 'P 1'
_cell_length_a 3.8228
_cell_length_b 5.0515
_cell_length_c 5.0515
_cell_angle_alpha 90.00
_cell_angle_beta 90.00
_cell_angle_gamma 90.00
loop_
_atom_site_label
_atom_site_fract_x
_atom_site_fract_y
_atom_site_fract_z
Sb1 0.0000 0.5000 0.5000
Sb2 0.0000 0.0000 0.0000
In1 0.5000 0.0000 0.5000
Zr1 0.5000 0.5000 0.0000